# 1
As3Au: optimized geometry, PBE.

Lattice parameters (Å, degrees): 3.855 3.855 6.041 108.61 108.61 90.00
Element x y z (fractional)
Au (0.000, 0.000, 0.000)
As (0.500, 0.500, 0.000)
As (0.245, 0.245, 0.489)
As (0.755, 0.755, 0.511)

***

# 2
AsAu: optimized geometry, PBE.

Lattice parameters (Å, degrees): 2.913 2.913 5.138 90.00 90.00 120.00
Element x y z (fractional)
As (0.000, 0.000, 0.000)
Au (0.667, 0.333, 0.500)

***

# 3
As3Au: optimized geometry, PBE.

Lattice parameters (Å, degrees): 5.602 5.602 5.602 150.94 91.42 95.80
Element x y z (fractional)
As (0.226, 0.500, 0.726)
As (0.216, 0.267, 0.948)
As (0.681, 0.733, 0.948)
Au (0.711, 0.000, 0.711)

***

# 4
AsAu: optimized geometry, PBE.

Lattice parameters (Å, degrees): 5.591 5.591 3.926 90.00 90.00 140.22
Element x y z (fractional)
Au (0.893, 0.107, 0.750)
Au (0.107, 0.893, 0.250)
As (0.640, 0.360, 0.750)
As (0.360, 0.640, 0.250)

***

# 5
AsAu: optimized geometry, PBE.

Lattice parameters (Å, degrees): 2.851 2.851 4.671 90.00 90.00 90.00
Element x y z (fractional)
Au (0.500, 0.500, 0.500)
As (0.000, 0.000, 0.000)

***

# 6
As4Au5: optimized geometry, PBE.

Lattice parameters (Å, degrees): 6.741 6.741 6.741 95.74 95.74 143.12
Element x y z (fractional)
As (0.296, 0.000, 0.296)
As (0.704, 0.000, 0.704)
As (0.000, 0.296, 0.296)
As (0.000, 0.704, 0.704)
Au (0.671, 0.671, 0.342)
Au (0.329, 0.329, 0.658)
Au (0.000, 0.000, 0.000)
Au (0.329, 0.671, 0.000)
Au (0.671, 0.329, 0.000)

***

# 7
AsAu: optimized geometry, PBE.

Lattice parameters (Å, degrees): 3.567 4.185 5.414 76.20 90.00 90.00
Element x y z (fractional)
As (0.750, 0.299, 0.278)
As (0.250, 0.701, 0.722)
Au (0.750, 0.191, 0.785)
Au (0.250, 0.809, 0.215)

***

# 8
AsAu: optimized geometry, PBE.

Lattice parameters (Å, degrees): 3.350 3.350 3.350 90.00 90.00 90.00
Element x y z (fractional)
Au (0.500, 0.500, 0.500)
As (0.000, 0.000, 0.000)

***

# 9
AsAu2: optimized geometry, PBE.

Lattice parameters (Å, degrees): 5.473 5.473 5.473 117.84 117.84 93.78
Element x y z (fractional)
Au (0.182, 0.318, 0.500)
Au (0.682, 0.182, 0.864)
Au (0.318, 0.818, 0.136)
Au (0.818, 0.682, 0.500)
As (0.250, 0.250, 0.000)
As (0.750, 0.750, 0.000)

***

# 10
As3Au: optimized geometry, PBE.

Lattice parameters (Å, degrees): 9.898 9.898 9.898 17.44 17.44 17.44
Element x y z (fractional)
As (0.251, 0.251, 0.251)
As (0.500, 0.500, 0.500)
As (0.749, 0.749, 0.749)
Au (0.000, 0.000, 0.000)

***

# 11
AsAu: optimized geometry, PBE.

Lattice parameters (Å, degrees): 6.260 6.260 7.161 72.17 72.17 26.30
Element x y z (fractional)
As (0.385, 0.385, 0.767)
As (0.056, 0.056, 0.923)
As (0.330, 0.330, 0.303)
Au (0.691, 0.691, 0.119)
Au (0.696, 0.696, 0.616)
Au (0.010, 0.010, 0.439)

***

# 12
As5Au: optimized geometry, PBE.

Lattice parameters (Å, degrees): 2.767 2.767 15.490 90.00 90.00 90.00
Element x y z (fractional)
As (0.500, 0.500, 0.665)
As (0.000, 0.000, 0.846)
As (0.000, 0.000, 0.500)
As (0.000, 0.000, 0.154)
As (0.500, 0.500, 0.335)
Au (0.500, 0.500, 0.000)

***

| no. | ΔE_f (kJ per mole of atoms) | DFT total energy (eV/atom) | mass density (g cm⁻³) |
| --- | --- | --- | --- |
| 1 | 9.5 | -4.208 | 8.74 |
| 2 | 27.1 | -3.682 | 11.96 |
| 3 | 15.4 | -4.147 | 8.48 |
| 4 | 15.3 | -3.805 | 11.50 |
| 5 | 22.8 | -3.728 | 11.90 |
| 6 | 18.7 | -3.694 | 12.23 |
| 7 | 12.5 | -3.833 | 11.51 |
| 8 | 28.4 | -3.669 | 12.01 |
| 9 | 15.8 | -3.571 | 13.04 |
| 10 | 36.1 | -3.932 | 9.21 |
| 11 | 19.9 | -3.757 | 11.48 |
| 12 | 39.2 | -4.014 | 8.00 |